1.
A relaxed structure of Nd2AlGa5, computed with PBE-GGA.

a b c (Å): 6.2093 6.2093 8.6690
angles (deg): 90.00 90.00 90.00
Last column: nearest neighbours and their distance in Å.
Space group I4mm (No. 107)
Symmetry-distinct sites (fractional):
Nd 0.0000 0.5000 0.0000 x4  10 Ga 3.09-3.12, 2 Al 3.12
Al 0.0000 0.0000 0.4705 x2  8 Ga 3.02-3.18, 4 Nd 3.12
Ga 0.0000 0.0000 0.0352 x2  8 Ga 2.99-3.21, 4 Nd 3.12
Ga 0.2333 0.2333 0.7504 x8  4 Ga 2.90-3.21, 2 Al 3.02-3.18, 4 Nd 3.09

Summary:
E_form, eV per atom: -0.484
Final energy, eV per atom: -4.04
Crystal system: tetragonal
Calculated volume, Å³/cell: 334.2
Total moment, μB/f.u.: 0.0



2.
A relaxed structure of Nd5Al2Ga, computed with PBE-GGA.

a b c (Å): 7.9339 7.9339 14.7471
angles (deg): 90.00 90.00 90.00
Last column: nearest neighbours and their distance in Å.
Space group I4/mcm (No. 140)
Symmetry-distinct sites (fractional):
Nd 0.0000 0.0000 0.0000 x4  4 Al 3.18
Nd 0.1740 0.3260 0.1508 x16  3 Al 3.24, 2 Ga 3.28, 1 Nd 3.39
Al 0.1166 0.3834 0.5000 x8  1 Al 2.62
Ga 0.0000 0.0000 0.2500 x4  8 Nd 3.28

Summary:
E_form, eV per atom: -0.312
Final energy, eV per atom: -4.61
Crystal system: tetragonal
Calculated volume, Å³/cell: 928.3
Total moment, μB/f.u.: 0.0



3.
A relaxed structure of Nd6Al2Ga, computed with PBE-GGA.

a b c (Å): 10.1879 10.2769 10.3031
angles (deg): 90.00 90.00 90.00
Last column: nearest neighbours and their distance in Å.
Space group Immm (No. 71)
Symmetry-distinct sites (fractional):
Nd 0.0000 0.2198 0.1727 x8  3 Al 3.06-3.19, 1 Ga 3.38
Nd 0.1747 0.2391 0.5000 x8  1 Ga 3.22, 3 Al 3.30-3.31, 1 Nd 3.56
Nd 0.1970 0.5000 0.2445 x8  2 Al 3.14-3.32, 2 Ga 3.22-3.31
Al 0.0000 0.0000 0.3735 x4  1 Al 2.61
Al 0.1346 0.0000 0.0000 x4  1 Al 2.74
Ga 0.0000 0.5000 0.0000 x2  8 Nd 3.22-3.38
Ga 0.0000 0.5000 0.5000 x2  8 Nd 3.22-3.31

Summary:
E_form, eV per atom: -0.253
Final energy, eV per atom: -4.60
Crystal system: orthorhombic
Calculated volume, Å³/cell: 1078.7
Energy above the most stable polymorph in this dataset, meV/atom: 0
Total moment, μB/f.u.: 0.0



4.
A relaxed structure of Nd3Al6Ga5, computed with PBE-GGA.

a b c (Å): 4.3066 12.9941 10.0745
angles (deg): 90.00 90.00 90.00
Last column: nearest neighbours and their distance in Å.
Space group Pmmn (No. 59, origin choice 2)
Symmetry-distinct sites (fractional):
Nd 0.2500 0.0730 0.2488 x4  6 Ga 3.16-3.20, 7 Al 3.18-3.48
Nd 0.2500 0.7500 0.2578 x2  6 Ga 3.24-3.29, 10 Al 3.34-3.53
Al 0.2500 0.0797 0.6113 x4  4 Ga 2.58-2.66, 1 Al 2.65
Al 0.2500 0.2500 0.0193 x2  4 Ga 2.64-2.93, 4 Al 2.89
Al 0.2500 0.2500 0.4663 x2  2 Al 2.65, 4 Ga 2.78
Al 0.2500 0.6016 0.9873 x4  4 Ga 2.61-2.82, 2 Al 2.89
Ga 0.2500 0.0848 0.8673 x4  5 Al 2.58-2.71
Ga 0.2500 0.6144 0.5274 x4  5 Al 2.61-2.78
Ga 0.2500 0.7500 0.7832 x2  4 Al 2.82-2.93, 2 Ga 3.12

Summary:
E_form, eV per atom: -0.452
Final energy, eV per atom: -4.16
Crystal system: orthorhombic
Calculated volume, Å³/cell: 563.8
Total moment, μB/f.u.: 0.0



5.
A relaxed structure of Nd2AlGa6, computed with PBE-GGA.

a b c (Å): 6.0374 6.0374 5.7579
angles (deg): 90.00 90.00 120.00
Last column: nearest neighbours and their distance in Å.
Space group P-3m1 (No. 164)
Symmetry-distinct sites (fractional):
Nd 0.3333 0.6667 0.1482 x2  12 Ga 3.21-3.39, 3 Al 3.59
Al 0.0000 0.0000 0.0000 x1  6 Ga 2.68
Ga 0.1786 0.3573 0.6657 x6  4 Ga 2.67-2.80, 1 Al 2.68

Summary:
E_form, eV per atom: -0.509
Final energy, eV per atom: -4.00
Crystal system: trigonal
Calculated volume, Å³/cell: 181.8
Total moment, μB/f.u.: 0.0



6.
A relaxed structure of Nd3AlGa, computed with PBE-GGA.

a b c (Å): 8.3902 8.3902 4.9490
angles (deg): 90.00 90.00 120.00
Last column: nearest neighbours and their distance in Å.
Space group P6_3/mmc (No. 194)
Symmetry-distinct sites (fractional):
Nd 0.1954 0.3908 0.2500 x6  2 Al 3.10, 2 Ga 3.18
Al 0.0000 0.0000 0.0000 x2  2 Al 2.47
Ga 0.3333 0.6667 0.7500 x2  6 Nd 3.18

Summary:
E_form, eV per atom: -0.151
Final energy, eV per atom: -4.37
Crystal system: hexagonal
Calculated volume, Å³/cell: 301.8
Total moment, μB/f.u.: 0.0



7.
A relaxed structure of Nd2AlGa, computed with PBE-GGA.

a b c (Å): 3.7101 3.7101 7.4455
angles (deg): 90.00 90.00 90.00
Last column: nearest neighbours and their distance in Å.
Space group P4/mmm (No. 123)
Symmetry-distinct sites (fractional):
Nd 0.0000 0.0000 0.2467 x2  4 Ga 3.20, 4 Al 3.23
Al 0.5000 0.5000 0.5000 x1  8 Nd 3.23
Ga 0.5000 0.5000 0.0000 x1  8 Nd 3.20

Summary:
E_form, eV per atom: -0.454
Final energy, eV per atom: -4.53
Crystal system: tetragonal
Calculated volume, Å³/cell: 102.5
Total moment, μB/f.u.: 0.0



8.
A relaxed structure of NdAlGa, computed with PBE-GGA.

a b c (Å): 4.3395 4.3395 4.2698
angles (deg): 90.00 90.00 120.00
Last column: nearest neighbours and their distance in Å.
Space group P-6m2 (No. 187)
Symmetry-distinct sites (fractional):
Nd 0.0000 0.0000 0.0000 x1  6 Al 3.29, 6 Ga 3.29
Al 0.3333 0.6667 0.5000 x1  3 Ga 2.51
Ga 0.6667 0.3333 0.5000 x1  3 Al 2.51

Summary:
E_form, eV per atom: -0.598
Final energy, eV per atom: -4.44
Crystal system: hexagonal
Calculated volume, Å³/cell: 69.6
Total moment, μB/f.u.: 0.0